Pr2ThCo9 | PBE-GGA | optimized geometry

Cell: 8.915 8.915 8.915 Å, 32.68 32.68 32.68°
Sites, in units of the cell vectors:
Pr: 0.140 0.140 0.140
Pr: 0.860 0.860 0.860
Th: 0.000 0.000 0.000
Co: 0.081 0.578 0.578
Co: 0.333 0.333 0.333
Co: 0.422 0.422 0.919
Co: 0.422 0.919 0.422
Co: 0.500 0.500 0.500
Co: 0.578 0.081 0.578
Co: 0.578 0.578 0.081
Co: 0.667 0.667 0.667
Co: 0.919 0.422 0.422

Computed properties:
* volume: 183.7 Å³/cell
* raw total energy: -6.82 eV per atom
* crystal system: trigonal
* SG: R-3m (166)
* DFT formation energy: -0.07 eV per atom